# 1
The following is a DFT calculation (SCAN) of Gd3ReB7 at its PBEsol-relaxed geometry.

Size of the total moment   85.70 Bohr magnetons per cell
ΔE_f   -0.579 eV per atom
DFT total energy   -27.811 eV per atom

Cell lengths 3.5138, 15.8402, 9.3403 Å; angles 90.00, 90.00, 90.00 degrees
Last column: nearest neighbours and their distance in Å.
Space group Cmcm (No. 63)
Symmetry-distinct sites (fractional):
Gd1 0.0000 0.1051 0.0613 [8 per cell]  11 B 2.64-2.75
Gd2 0.0000 0.2430 0.7500 [4 per cell]  10 B 2.65-2.70
Re1 0.0000 0.0540 0.7500 [4 per cell]  10 B 2.31-2.34
B1 0.0000 0.2733 0.0316 [8 per cell]  3 B 1.86-2.00
B2 0.0000 0.3675 0.1505 [8 per cell]  3 B 1.83-1.86
B3 0.0000 0.4591 0.7500 [4 per cell]  2 B 1.75
B4 0.0000 0.4785 0.0953 [8 per cell]  3 B 1.75-1.91

***

# 2
The following is a DFT calculation (SCAN) of SiRhW2 at its PBEsol-relaxed geometry.

Formation energy (no corrections)   -33 meV/atom
Size of the total moment   0.00 Bohr magnetons per cell
DFT total energy   -45.824 eV per atom

Cell lengths 2.8244, 2.8244, 7.0552 Å; angles 90.00, 90.00, 90.00 degrees
Last column: nearest neighbours and their distance in Å.
Space group P4/mmm (No. 123)
Symmetry-distinct sites (fractional):
Si1 0.0000 0.0000 0.0000 [1 per cell]  8 W 2.60, 4 Si 2.82
Rh1 0.0000 0.0000 0.5000 [1 per cell]  8 W 2.73, 4 Rh 2.82
W1 0.5000 0.5000 0.2353 [2 per cell]  4 Si 2.60, 4 Rh 2.73, 4 W 2.82

***

# 3
The following is a DFT calculation (SCAN) of CdSi2Os at its PBEsol-relaxed geometry.

Formation energy (no corrections)   563 meV/atom
Size of the total moment   0.00 Bohr magnetons per cell
DFT total energy   -30.019 eV per atom

Cell lengths 5.8786, 5.8786, 10.4321 Å; angles 90.00, 90.00, 90.00 degrees
Last column: nearest neighbours and their distance in Å.
Space group I-42d (No. 122)
Symmetry-distinct sites (fractional):
Cd1 0.0000 0.0000 0.0000 [4 per cell]  4 Si 2.66
Si1 0.1950 0.7500 0.6250 [8 per cell]  2 Os 2.27
Os1 0.0000 0.0000 0.5000 [4 per cell]  4 Si 2.27

***

# 4
The following is a DFT calculation (SCAN) of SrTa2Pb at its PBEsol-relaxed geometry.

Size of the total moment   0.00 Bohr magnetons per cell
ΔE_f   0.905 eV per atom
DFT total energy   -56.901 eV per atom

Cell lengths 3.6099, 4.8715, 10.3336 Å; angles 90.00, 90.00, 90.00 degrees
Last column: nearest neighbours and their distance in Å.
Space group Cmmm (No. 65)
Symmetry-distinct sites (fractional):
Sr1 0.0000 0.0000 0.0000 [2 per cell]  4 Sr 3.03, 4 Ta 3.37
Ta1 0.0000 0.5000 0.2756 [4 per cell]  2 Pb 2.94, 4 Ta 3.03
Pb1 0.0000 0.0000 0.5000 [2 per cell]  4 Ta 2.94, 4 Pb 3.03

***

# 5
The following is a DFT calculation (SCAN) of SbRhN2 at its PBEsol-relaxed geometry.

Formation energy (no corrections)   589 meV/atom
Size of the total moment   2.58 Bohr magnetons per cell
DFT total energy   -21.814 eV per atom

Cell lengths 3.1153, 3.1153, 18.6515 Å; angles 90.00, 90.00, 120.00 degrees
Last column: nearest neighbours and their distance in Å.
Space group R-3m (No. 166, hexagonal axes)
Symmetry-distinct sites (fractional):
Sb1 0.0000 0.0000 0.0000 [3 per cell]  6 N 2.13
Rh1 0.0000 0.0000 0.5000 [3 per cell]  2 N 1.97
N1 0.0000 0.0000 0.3946 [6 per cell]  1 Rh 1.97, 3 Sb 2.13

***

# 6
The following is a DFT calculation (SCAN) of YSc2Tl at its PBEsol-relaxed geometry.

Size of the total moment   0.00 Bohr magnetons per cell
ΔE_f   -0.287 eV per atom
DFT total energy   -32.456 eV per atom
Excess energy over the best structure of this formula in the dataset   57 meV/atom

Cell lengths 3.7740, 4.9082, 10.5975 Å; angles 90.00, 90.00, 90.00 degrees
Last column: nearest neighbours and their distance in Å.
Space group Imm2 (No. 44)
Symmetry-distinct sites (fractional):
Y1 0.0000 0.0000 0.0000 [2 per cell]  8 Sc 3.13-3.45, 2 Tl 3.16
Sc1 0.0000 0.0000 0.4585 [2 per cell]  2 Tl 2.99, 4 Y 3.13
Sc2 0.0000 0.5000 0.2287 [2 per cell]  4 Tl 3.10, 4 Sc 3.43-3.46, 4 Y 3.44-3.45
Tl1 0.0000 0.5000 0.7396 [2 per cell]  6 Sc 2.99-3.10, 2 Y 3.16

***

# 7
The following is a DFT calculation (SCAN) of Mo2PtSe at its PBEsol-relaxed geometry.

Formation energy (no corrections)   174 meV/atom
Size of the total moment   0.00 Bohr magnetons per cell
DFT total energy   -39.836 eV per atom

Cell lengths 2.8633, 3.9927, 5.4739 Å; angles 90.00, 90.00, 90.00 degrees
Last column: nearest neighbours and their distance in Å.
Space group Pmm2 (No. 25)
Symmetry-distinct sites (fractional):
Mo1 0.0000 0.0000 0.0000 [1 per cell]  4 Se 2.60, 2 Pt 2.69-2.79, 2 Mo 2.86
Mo2 0.5000 0.5000 0.3380 [1 per cell]  4 Pt 2.63, 2 Se 2.71-2.76, 2 Mo 2.86
Pt1 0.0000 0.0000 0.5094 [1 per cell]  6 Mo 2.63-2.79, 2 Pt 2.86
Se1 0.5000 0.5000 0.8426 [1 per cell]  6 Mo 2.60-2.76, 2 Se 2.86

***

# 8
The following is a DFT calculation (SCAN) of ReBr2Cl at its PBEsol-relaxed geometry.

Formation energy (no corrections)   -35 meV/atom
Size of the total moment   0.00 Bohr magnetons per cell
DFT total energy   -29.533 eV per atom

Cell lengths 4.5680, 14.0256, 3.2561 Å; angles 90.00, 90.00, 90.00 degrees
Last column: nearest neighbours and their distance in Å.
Space group Cmmm (No. 65)
Symmetry-distinct sites (fractional):
Re1 0.0000 0.0000 0.0000 [2 per cell]  2 Cl 2.28, 4 Br 2.55
Br1 0.0000 0.1397 0.5000 [4 per cell]  2 Re 2.55
Cl1 0.0000 0.5000 0.0000 [2 per cell]  2 Re 2.28

***

# 9
The following is a DFT calculation (SCAN) of Mn2AlAu at its PBEsol-relaxed geometry.

Size of the total moment   1.72 Bohr magnetons per cell
ΔE_f   -0.337 eV per atom
DFT total energy   -28.692 eV per atom
Excess energy over the best structure of this formula in the dataset   126 meV/atom

Cell lengths 2.7709, 2.7709, 6.9490 Å; angles 90.00, 90.00, 90.00 degrees
Last column: nearest neighbours and their distance in Å.
Space group P4mm (No. 99)
Symmetry-distinct sites (fractional):
Mn1 0.0000 0.0000 0.0000 [1 per cell]  4 Mn 2.40
Mn2 0.5000 0.5000 0.1998 [1 per cell]  4 Mn 2.40, 4 Al 2.53
Al1 0.0000 0.0000 0.4302 [1 per cell]  4 Mn 2.53, 4 Al 2.77, 4 Au 2.77
Au1 0.5000 0.5000 0.7126 [1 per cell]  4 Au 2.77, 4 Al 2.77, 4 Mn 2.80

***

# 10
The following is a DFT calculation (SCAN) of CdMoRhI2 at its PBEsol-relaxed geometry.

Formation energy (no corrections)   1717 meV/atom
Size of the total moment   6.29 Bohr magnetons per cell
DFT total energy   -32.794 eV per atom

Cell lengths 5.5179, 5.5179, 5.2841 Å; angles 90.00, 90.00, 90.00 degrees
Last column: nearest neighbours and their distance in Å.
Space group P4/mmm (No. 123)
Symmetry-distinct sites (fractional):
Cd1 0.0000 0.0000 0.0000 [1 per cell]  2 Mo 2.64, 4 I 2.76
Mo1 0.0000 0.0000 0.5000 [1 per cell]  2 Cd 2.64
Rh1 0.5000 0.5000 0.5000 [1 per cell]  8 I 3.82, 4 Mo 3.90
I1 0.0000 0.5000 0.0000 [2 per cell]  2 Cd 2.76

***

# 11
The following is a DFT calculation (SCAN) of RbTcMoCl2 at its PBEsol-relaxed geometry.

Formation energy (no corrections)   180 meV/atom
Size of the total moment   2.81 Bohr magnetons per cell
DFT total energy   -21.148 eV per atom

Cell lengths 5.1184, 5.1184, 4.7008 Å; angles 90.00, 90.00, 90.00 degrees
Last column: nearest neighbours and their distance in Å.
Space group P4/mmm (No. 123)
Symmetry-distinct sites (fractional):
Rb1 0.0000 0.0000 0.0000 [1 per cell]  8 Cl 3.47, 4 Mo 3.62
Tc1 0.5000 0.5000 0.5000 [1 per cell]  2 Mo 2.35, 4 Cl 2.56
Mo1 0.5000 0.5000 0.0000 [1 per cell]  2 Tc 2.35
Cl1 0.0000 0.5000 0.5000 [2 per cell]  2 Tc 2.56

***

# 12
The following is a DFT calculation (SCAN) of TcMo2P at its PBEsol-relaxed geometry.

Size of the total moment   0.00 Bohr magnetons per cell
ΔE_f   -0.073 eV per atom
DFT total energy   -28.880 eV per atom

Cell lengths 3.0141, 3.0141, 6.1735 Å; angles 90.00, 90.00, 90.00 degrees
Last column: nearest neighbours and their distance in Å.
Space group P4mm (No. 99)
Symmetry-distinct sites (fractional):
Tc1 0.0000 0.0000 0.0000 [1 per cell]  5 Mo 2.59-2.85, 4 P 2.66
Mo1 0.0000 0.0000 0.5383 [1 per cell]  4 P 2.47
Mo2 0.5000 0.5000 0.2398 [1 per cell]  4 Tc 2.59, 4 Mo 2.82
P1 0.5000 0.5000 0.7413 [1 per cell]  4 Mo 2.47, 4 Tc 2.66

***

- The lowest DFT total energy belongs to which entry?
  SrTa2Pb